DFT (PBE) results for a geometry-optimized YMnPbS4 structure.

Cell and atoms, written as POSCAR:
```
YMnPbS4
1.0
6.672 0.000 0.000
0.000 6.113 0.000
-2.482 0.000 7.822
Y Mn Pb S
2 2 2 8
Direct
0.241 0.250 0.058 Y
0.759 0.750 0.942 Y
0.232 0.750 0.820 Mn
0.768 0.250 0.180 Mn
0.282 0.250 0.560 Pb
0.718 0.750 0.440 Pb
0.012 0.508 0.226 S
0.012 0.992 0.226 S
0.431 0.750 0.634 S
0.438 0.750 0.095 S
0.562 0.250 0.905 S
0.569 0.250 0.366 S
0.988 0.008 0.774 S
0.988 0.492 0.774 S
```

Output
- symmetry = P2_1/m (11)
- energy (eV/atom) = -6.11

DFT (PBE) results for a geometry-optimized CaAl3Pd structure.

Cell and atoms, written as POSCAR:
```
CaAl3Pd
1.0
6.384 0.000 0.000
-3.192 5.529 0.000
0.000 0.000 5.624
Ca Al Pd
2 6 2
Direct
0.333 0.667 0.250 Ca
0.667 0.333 0.750 Ca
0.191 0.381 0.750 Al
0.191 0.809 0.750 Al
0.381 0.191 0.250 Al
0.619 0.809 0.750 Al
0.809 0.191 0.250 Al
0.809 0.619 0.250 Al
0.000 0.000 0.000 Pd
0.000 0.000 0.500 Pd
```

Output
- formation energy from the elements (meV/atom) = -423
- symmetry = P6_3/mmc (194)
- energy (eV/atom) = -4.11

What is the energy in the first record? -6.11 eV/atom

Which of these has the lowest energy? YMnPbS4

The highest energy belongs to which entry? CaAl3Pd